Record 1
Pm3CoNi3: optimized geometry, PBE.

Geometry as POSCAR:
```
Pm3CoNi3
1.0
3.9004 0.0000 0.5875
1.9587 5.2370 0.2370
-0.0870 -0.6447 13.8175
Pm Co Ni
6 2 6
Direct
0.5865 0.2300 0.5970
0.4135 0.7700 0.4030
0.2245 0.3228 0.2281
0.7755 0.6772 0.7719
0.4063 0.2647 0.9227
0.5937 0.7353 0.0773
0.7250 0.1780 0.3721
0.2750 0.8220 0.6279
0.8881 0.6621 0.5617
0.1119 0.3379 0.4383
0.1134 0.8489 0.9244
0.8866 0.1511 0.0756
0.9342 0.9016 0.2300
0.0658 0.0984 0.7700
```

Results
DFT formation energy: -0.266 eV/atom

---

Record 2
Pm2CoNi2: optimized geometry, PBE.

Geometry as POSCAR:
```
Pm2CoNi2
1.0
-2.3445 2.7456 1.6675
-0.6917 -1.0183 5.4464
6.4820 6.2770 3.5207
Pm Co Ni
4 2 4
Direct
0.7018 0.2366 0.3597
0.9022 0.3016 0.8940
0.2982 0.7634 0.6403
0.0978 0.6984 0.1060
0.5721 0.1729 0.6828
0.4279 0.8271 0.3172
0.0381 0.3341 0.5896
0.6143 0.8849 0.8865
0.9619 0.6659 0.4104
0.3857 0.1151 0.1135
```

Results
DFT formation energy: -0.240 eV/atom
ΔE to the lowest computed polymorph: 0 meV per atom

---

Record 3
Pm3Co2Ni7: optimized geometry, PBE.

Geometry as POSCAR:
```
Pm3Co2Ni7
1.0
-2.9079 -3.7515 -1.6364
-1.8344 -3.3564 3.2522
-8.2757 2.3451 1.6277
Pm Co Ni
3 2 7
Direct
0.0000 0.0000 0.0000
0.8616 0.8616 0.4153
0.1384 0.1384 0.5847
0.6675 0.6675 0.9976
0.3325 0.3325 0.0024
0.5000 0.5000 0.5000
0.9187 0.4201 0.2411
0.4201 0.9187 0.2411
0.4201 0.4201 0.2411
0.0813 0.5799 0.7589
0.5799 0.5799 0.7589
0.5799 0.0813 0.7589
```

Results
DFT formation energy: -0.268 eV/atom

---

Record 4
Pm3CoNi: optimized geometry, PBE.

Geometry as POSCAR:
```
Pm3CoNi
1.0
3.7914 0.0150 0.0090
-0.0292 8.0591 -0.9650
-0.0166 -0.5325 7.9992
Pm Co Ni
6 2 2
Direct
0.5433 0.9015 0.6617
0.5430 0.3012 0.9385
0.0430 0.3082 0.5684
0.0430 0.6841 0.9473
0.5431 0.5637 0.3334
0.5432 0.0404 0.2223
0.5429 0.5476 0.7076
0.0430 0.3118 0.2045
0.0435 0.8446 0.3672
0.0432 0.0401 0.9259
```

Results
DFT formation energy: -0.126 eV/atom
ΔE to the lowest computed polymorph: 43 meV per atom

---

Record 5
Pm6Co2Ni: optimized geometry, PBE.

Geometry as POSCAR:
```
Pm6Co2Ni
1.0
8.3818 0.1531 0.0681
-3.0340 7.8149 -0.0681
-2.8027 -3.8975 6.8728
Pm Co Ni
12 4 2
Direct
0.5536 0.7292 0.8244
0.4464 0.2708 0.1756
0.0952 0.2708 0.8244
0.9048 0.7292 0.1756
0.8173 0.7535 0.5708
0.1827 0.2465 0.4292
0.1827 0.7535 0.9362
0.8173 0.2465 0.0638
0.6825 0.3555 0.6730
0.3175 0.6445 0.3270
0.3175 0.9904 0.6730
0.6825 0.0096 0.3270
0.5000 0.3862 0.8862
0.5000 0.6138 0.1138
0.6742 0.0000 0.6742
0.3258 0.0000 0.3258
0.0000 0.5000 0.5000
0.0000 0.0000 0.0000
```

Results
DFT formation energy: -0.100 eV/atom

---

Record 6
Pm2CoNi: optimized geometry, PBE.

Geometry as POSCAR:
```
Pm2CoNi
1.0
3.8659 0.0000 0.8559
1.8392 3.4017 0.8513
0.3838 0.2506 7.4250
Pm Co Ni
2 1 1
Direct
0.8904 0.6545 0.5648
0.7147 0.4769 0.0936
0.1358 0.8985 0.8300
0.4694 0.2321 0.8290
```

Results
DFT formation energy: -0.198 eV/atom
ΔE to the lowest computed polymorph: 0 meV per atom

---

Record 7
Pm2CoNi: optimized geometry, PBE.

Geometry as POSCAR:
```
Pm2CoNi
1.0
4.8706 0.0000 0.0000
2.4353 4.2181 0.0000
2.4353 1.4060 3.9768
Ni Co Pm
1 1 2
Direct
0.0000 0.0000 0.0000
0.5000 0.5000 0.5000
0.2500 0.2500 0.2500
0.7500 0.7500 0.7500
```

Results
DFT formation energy: -0.117 eV/atom
ΔE to the lowest computed polymorph: 80 meV per atom

---

Record 8
Pm3CoNi: optimized geometry, PBE.

Geometry as POSCAR:
```
Pm3CoNi
1.0
-1.3613 -1.0372 6.8697
-4.1353 -6.9129 -1.8632
8.3602 -2.2340 1.3193
Pm Co Ni
12 4 4
Direct
0.1591 0.6157 0.7937
0.8409 0.3843 0.2063
0.6591 0.8843 0.2063
0.3409 0.1157 0.7937
0.6862 0.5081 0.8470
0.3137 0.4919 0.1530
0.1862 0.9919 0.1530
0.8138 0.0081 0.8470
0.9878 0.2154 0.5497
0.0122 0.7846 0.4503
0.4878 0.2846 0.4503
0.5122 0.7154 0.5497
0.8367 0.5221 0.5538
0.1633 0.4779 0.4462
0.3367 0.9779 0.4462
0.6633 0.0221 0.5538
0.0302 0.3379 0.9119
0.9698 0.6621 0.0881
0.5302 0.1621 0.0881
0.4698 0.8379 0.9119
```

Results
DFT formation energy: -0.169 eV/atom
ΔE to the lowest computed polymorph: 0 meV per atom

---

Record 9
Pm8Co2Ni: optimized geometry, PBE.

Geometry as POSCAR:
```
Pm8Co2Ni
1.0
-3.2947 1.1064 3.7441
-5.0876 -0.5571 -4.3123
2.3649 -8.6865 1.1629
Pm Co Ni
8 2 1
Direct
0.4117 0.5641 0.8234
0.6711 0.9690 0.3421
0.7999 0.6641 0.5999
0.9567 0.2137 0.9134
0.2001 0.3359 0.4001
0.3289 0.0310 0.6579
0.5883 0.4359 0.1766
0.0433 0.7863 0.0866
0.7982 0.2656 0.5964
0.2018 0.7344 0.4036
0.5000 0.0000 0.0000
```

Results
DFT formation energy: -0.051 eV/atom
ΔE to the lowest computed polymorph: 0 meV per atom

---

Record 10
Pm6CoNi2: optimized geometry, PBE.

Geometry as POSCAR:
```
Pm6CoNi2
1.0
-2.5139 -5.4628 -2.6312
6.4673 -3.1722 0.4071
-2.3867 -3.6833 9.2147
Pm Co Ni
12 2 4
Direct
0.1548 0.0462 0.2503
0.1766 0.3221 0.5763
0.1684 0.3213 0.9292
0.3316 0.8213 0.5708
0.3234 0.8221 0.9237
0.3452 0.5462 0.2497
0.8452 0.9538 0.7497
0.8234 0.6779 0.4237
0.8316 0.6787 0.0708
0.6684 0.1787 0.4292
0.6766 0.1779 0.0763
0.6548 0.4538 0.7503
0.5000 0.5000 0.0000
0.0000 0.0000 0.5000
0.0583 0.6136 0.7601
0.4417 0.1136 0.7399
0.5583 0.8864 0.2601
0.9417 0.3864 0.2399
```

Results
DFT formation energy: -0.151 eV/atom